8
Lattice="-1.2187 2.1183 -5.0767 3.7753 -8.0429 -1.1428 -9.8140 -3.8124 0.9642" Properties=species:S:1:pos:R:3 comment="KRb2Pb | Alexandria | PBE | optimized geometry" ef_mev_per_atom=-74 de_polymorph_ev_per_atom=0.002 pbc="T T T"
Rb -0.1787 -1.5050 -2.0496
Rb -4.2219 0.0458 -3.5509
Rb -7.0786 -8.2320 -3.2058
Rb -3.0355 -9.7827 -1.7044
Pb -3.6781 -6.2474 -3.1951
Pb -3.5793 -3.4896 -2.0602
K -6.2585 -3.9201 -4.7246
K -0.9989 -5.8169 -0.5307